Entry from Alexandria: crystalline CoRuOF2 at its relaxed geometry (GGA+U).

M_tot	7.00	μB/f.u.
space group	P4/mmm, No. 123
relative energy among the computed polymorphs	36	meV/atom

Unit cell a=4.0733 b=4.0733 c=3.7521 alpha=90.00 beta=90.00 gamma=90.00
Closest atoms and distances in Å follow each position.
Positions (direct):
Ru 0.5000 0.5000 0.5000  8 F 2.77, 4 O 2.88
Co 0.0000 0.0000 0.0000  2 O 1.88, 4 F 2.04
O 0.0000 0.0000 0.5000  2 Co 1.88
F 0.0000 0.5000 0.0000  2 Co 2.04
F 0.5000 0.0000 0.0000  2 Co 2.04